Zn2TeOs | SCAN | PBEsol geometry

Unit cell a=3.960 b=3.960 c=4.126 alpha=90.00 beta=90.00 gamma=90.00
Element x y z (fractional)
Zn  0.500  0.000  0.000
Zn  0.000  0.500  0.000
Os  0.500  0.500  0.500
Te  0.000  0.000  0.500

Computed properties:
Energy relative to the elements, uncorrected ... 569.7 meV per atom

Mg2TlIn | SCAN | PBEsol geometry

Unit cell a=4.699 b=4.699 c=5.361 alpha=115.99 beta=115.99 gamma=90.00
Element x y z (fractional)
Tl  0.500  0.500  0.000
Mg  0.250  0.750  0.500
Mg  0.750  0.250  0.500
In  0.000  0.000  0.000

Computed properties:
Energy of formation ... -13.4 kJ per mole of atoms

Cu7PS6 | SCAN | PBEsol geometry

Unit cell a=9.468 b=9.468 c=9.468 alpha=90.00 beta=90.00 gamma=90.00
Element x y z (fractional)
Cu  0.765  0.427  0.595
Cu  0.852  0.648  0.352
Cu  0.573  0.095  0.735
Cu  0.000  0.518  0.721
Cu  0.073  0.405  0.265
Cu  0.595  0.765  0.427
Cu  0.927  0.905  0.235
Cu  0.735  0.573  0.095
Cu  0.265  0.073  0.405
Cu  0.982  0.279  0.500
Cu  0.648  0.352  0.852
Cu  0.405  0.265  0.073
Cu  0.018  0.779  0.000
Cu  0.500  0.482  0.221
Cu  0.221  0.500  0.482
Cu  0.518  0.721  0.000
Cu  0.905  0.235  0.927
Cu  0.279  0.500  0.982
Cu  0.095  0.735  0.573
Cu  0.148  0.148  0.148
Cu  0.000  0.018  0.779
Cu  0.352  0.852  0.648
Cu  0.500  0.982  0.279
Cu  0.235  0.927  0.905
Cu  0.721  0.000  0.518
Cu  0.482  0.221  0.500
Cu  0.779  0.000  0.018
Cu  0.427  0.595  0.765
P  0.245  0.255  0.745
P  0.745  0.245  0.255
P  0.255  0.745  0.245
P  0.755  0.755  0.755
S  0.871  0.631  0.890
S  0.631  0.890  0.871
S  0.610  0.129  0.131
S  0.484  0.984  0.516
S  0.629  0.369  0.390
S  0.371  0.869  0.110
S  0.110  0.371  0.869
S  0.722  0.778  0.222
S  0.871  0.371  0.129
S  0.629  0.629  0.629
S  0.371  0.129  0.871
S  0.131  0.610  0.129
S  0.890  0.871  0.631
S  0.390  0.629  0.369
S  0.516  0.484  0.984
S  0.222  0.722  0.778
S  0.869  0.110  0.371
S  0.129  0.131  0.610
S  0.016  0.016  0.016
S  0.129  0.871  0.371
S  0.984  0.516  0.484
S  0.778  0.222  0.722
S  0.278  0.278  0.278
S  0.369  0.390  0.629

Computed properties:
Energy relative to the elements, uncorrected ... -242.7 meV per atom

SrMg30FeO32 | SCAN | PBEsol geometry

Unit cell a=8.531 b=8.519 c=8.519 alpha=90.00 beta=90.00 gamma=90.00
Each line ends with the local moment (μB).
Element x y z (fractional)
O  0.746  0.500  0.000  0.00
O  0.000  0.000  0.751  0.05
O  0.500  0.753  0.500  0.00
O  0.254  0.000  0.500  0.00
O  0.500  0.247  0.500  0.00
O  0.500  0.750  0.000  0.00
O  0.500  0.500  0.753  0.00
O  0.500  0.250  0.000  0.00
O  0.744  0.000  0.000  0.04
O  0.000  0.249  0.000  0.05
O  0.730  0.500  0.500  0.00
O  0.000  0.500  0.230  0.00
O  0.000  0.500  0.770  0.00
O  0.249  0.750  0.250  0.00
O  0.500  0.500  0.247  0.00
O  0.500  0.000  0.250  0.00
O  0.751  0.250  0.750  0.00
O  0.500  0.000  0.750  0.00
O  0.751  0.750  0.250  0.00
O  0.000  0.770  0.500  0.00
O  0.254  0.500  0.000  0.00
O  0.000  0.751  0.000  0.05
O  0.249  0.250  0.250  0.00
O  0.249  0.250  0.750  0.00
O  0.751  0.250  0.250  0.00
O  0.249  0.750  0.750  0.00
O  0.270  0.500  0.500  0.00
O  0.256  0.000  0.000  0.04
O  0.746  0.000  0.500  0.00
O  0.000  0.000  0.249  0.05
O  0.751  0.750  0.750  0.00
O  0.000  0.230  0.500  0.00
Mg  0.500  0.000  0.000  0.00
Mg  0.745  0.500  0.755  0.00
Mg  0.500  0.751  0.751  0.00
Mg  0.745  0.500  0.245  0.00
Mg  0.251  0.000  0.751  0.00
Mg  0.000  0.500  0.000  0.00
Mg  0.745  0.245  0.500  0.00
Mg  0.251  0.249  0.000  0.00
Mg  0.000  0.755  0.245  0.00
Mg  0.251  0.751  0.000  0.00
Mg  0.255  0.500  0.755  0.00
Mg  0.749  0.000  0.751  0.00
Mg  0.749  0.000  0.249  0.00
Mg  0.500  0.500  0.000  0.00
Mg  0.500  0.249  0.249  0.00
Mg  0.749  0.249  0.000  0.00
Mg  0.255  0.500  0.245  0.00
Mg  0.500  0.500  0.500  0.00
Mg  0.500  0.249  0.751  0.00
Mg  0.749  0.751  0.000  0.00
Mg  0.255  0.245  0.500  0.00
Mg  0.251  0.000  0.249  0.00
Mg  0.000  0.000  0.500  0.00
Mg  0.000  0.755  0.755  0.00
Mg  0.000  0.245  0.245  0.00
Mg  0.500  0.751  0.249  0.00
Mg  0.255  0.755  0.500  0.00
Mg  0.745  0.755  0.500  0.00
Mg  0.500  0.000  0.500  0.00
Mg  0.000  0.245  0.755  0.00
Sr  0.000  0.500  0.500  0.00
Fe  0.000  0.000  0.000  3.60

Computed properties:
Energy relative to the elements, uncorrected ... -2909.0 meV per atom

Ho2AlNi2 | SCAN | PBEsol geometry

Unit cell a=4.139 b=5.262 c=5.262 alpha=60.27 beta=66.84 gamma=66.84
Element x y z (fractional)
Al  0.000  0.000  0.000
Ho  0.798  0.702  0.702
Ho  0.202  0.298  0.298
Ni  0.500  0.734  0.266
Ni  0.500  0.266  0.734

Computed properties:
Energy of formation ... -58.1 kJ per mole of atoms

BaCaSiO4 | SCAN | PBEsol geometry

Unit cell a=7.190 b=11.194 c=11.194 alpha=120.00 beta=90.00 gamma=90.00
Element x y z (fractional)
Ba  0.549  0.833  0.666
Ba  0.351  0.333  0.667
Ba  0.549  0.334  0.167
Ba  0.049  0.666  0.833
Ba  0.549  0.833  0.167
Ba  0.049  0.167  0.334
Ba  0.049  0.167  0.833
Ba  0.851  0.667  0.333
O  0.900  0.674  0.590
O  0.400  0.326  0.916
O  0.900  0.674  0.084
O  0.900  0.916  0.326
O  0.966  0.173  0.087
O  0.400  0.084  0.410
O  0.716  0.189  0.378
O  0.466  0.087  0.913
O  0.511  0.826  0.413
O  0.011  0.413  0.826
O  0.702  0.333  0.667
O  0.466  0.087  0.173
O  0.900  0.916  0.590
O  0.400  0.326  0.410
O  0.966  0.913  0.087
O  0.216  0.811  0.189
O  0.716  0.622  0.811
O  0.511  0.587  0.174
O  0.011  0.174  0.587
O  0.966  0.913  0.827
O  0.900  0.410  0.084
O  0.511  0.587  0.413
O  0.202  0.667  0.333
O  0.400  0.084  0.674
O  0.716  0.189  0.811
O  0.400  0.590  0.674
O  0.216  0.811  0.622
O  0.400  0.590  0.916
O  0.900  0.410  0.326
O  0.011  0.413  0.587
O  0.216  0.378  0.189
O  0.466  0.827  0.913
Ca  0.715  0.470  0.940
Ca  0.215  0.940  0.470
Ca  0.746  0.000  0.000
Ca  0.215  0.530  0.470
Ca  0.246  0.000  0.000
Ca  0.215  0.530  0.060
Ca  0.715  0.060  0.530
Ca  0.715  0.470  0.530
Si  0.927  0.333  0.667
Si  0.496  0.657  0.828
Si  0.996  0.828  0.172
Si  0.427  0.667  0.333
Si  0.996  0.828  0.657
Si  0.996  0.343  0.172
Si  0.496  0.172  0.828
Si  0.496  0.172  0.343

Computed properties:
Energy relative to the elements, uncorrected ... -3240.4 meV per atom

Si2GeH | SCAN | PBEsol geometry

Unit cell a=4.207 b=4.207 c=4.207 alpha=60.00 beta=60.00 gamma=60.00
Element x y z (fractional)
Ge  0.500  0.500  0.500
Si  0.250  0.250  0.250
Si  0.750  0.750  0.750
H  0.000  0.000  0.000

Computed properties:
Polymorph energy (0 for the lowest one) ... 0.282 eV/atom

TaBeAg3 | SCAN | PBEsol geometry

Unit cell a=4.294 b=4.294 c=4.294 alpha=90.00 beta=90.00 gamma=90.00
Each line ends with the local moment (μB).
Element x y z (fractional)
Ta  0.500  0.500  0.500  0.68
Ag  0.500  0.000  0.000  0.01
Ag  0.000  0.500  0.000  0.01
Ag  0.000  0.000  0.500  0.01
Be  0.000  0.000  0.000  -0.04

Computed properties:
Energy of formation ... 76.4 kJ per mole of atoms